Entry 1:
## CrCdI2 (meta-GGA SCAN)

Data for a PBEsol-optimized structure of CrCdI2.

Cell and atoms, written as POSCAR:
```
CrCdI2
1.0
0.000 3.756 3.756
3.756 0.000 3.756
3.756 3.756 0.000
Cr Cd I
1 1 2
Direct
0.000 0.000 0.000 Cr
0.500 0.500 0.500 Cd
0.250 0.250 0.250 I
0.750 0.750 0.750 I
```

Total magnetization: 1.122 μB per atom
Uncorrected formation energy: 0.16 eV per atom
Total DFT energy (no corrections): -121.6 eV for the cell shown
V: 26.5 Å³ per atom

---

Entry 2:
## Be2Ru (meta-GGA SCAN)

Data for a PBEsol-optimized structure of Be2Ru.

Cell and atoms, written as POSCAR:
```
Be2Ru
1.0
-1.728 2.677 3.060
1.728 -2.677 3.060
1.728 2.677 -3.060
Be Ru
4 2
Direct
0.204 0.164 0.041 Be
0.377 0.836 0.541 Be
0.623 0.164 0.459 Be
0.796 0.836 0.959 Be
0.214 0.464 0.750 Ru
0.786 0.536 0.250 Ru
```

Total magnetization: 0.000 μB per atom
Energy relative to the lowest polymorph listed for this composition: 0.0358 eV/atom
Total DFT energy (no corrections): -89.5 eV for the cell shown
V: 9.4 Å³ per atom
Energy of formation from the pure elements: -404.2 meV/atom

---

Entry 3:
## Mg2ReRu (meta-GGA SCAN)

Data for a PBEsol-optimized structure of Mg2ReRu.

Cell and atoms, written as POSCAR:
```
Mg2ReRu
1.0
3.752 0.000 0.000
0.000 3.752 0.000
0.000 0.000 4.369
Mg Re Ru
2 1 1
Direct
0.000 0.500 0.000 Mg
0.500 0.000 0.000 Mg
0.000 0.000 0.500 Re
0.500 0.500 0.500 Ru
```

Total magnetization: 0.000 μB per atom
Energy relative to the lowest polymorph listed for this composition: 0.2863 eV/atom
Total DFT energy (no corrections): -114.8 eV for the cell shown
V: 15.4 Å³ per atom
Energy of formation from the pure elements: 273.5 meV/atom

---

Entry 4:
## Cs2CuSbCl6 (meta-GGA SCAN)

Data for a PBEsol-optimized structure of Cs2CuSbCl6.

Cell and atoms, written as POSCAR:
```
Cs2CuSbCl6
1.0
0.000 5.128 5.128
5.128 0.000 5.128
5.128 5.128 0.000
Cs Cu Sb Cl
2 1 1 6
Direct
0.250 0.250 0.250 Cs
0.750 0.750 0.750 Cs
0.000 0.000 0.000 Cu
0.500 0.500 0.500 Sb
0.240 0.240 0.760 Cl
0.240 0.760 0.240 Cl
0.240 0.760 0.760 Cl
0.760 0.240 0.240 Cl
0.760 0.240 0.760 Cl
0.760 0.760 0.240 Cl
```

Total magnetization: 0.000 μB per atom
Uncorrected formation energy: -1.41 eV per atom
Total DFT energy (no corrections): -190.0 eV for the cell shown
V: 27.0 Å³ per atom

---

Entry 5:
## HfCuAsSe2 (meta-GGA SCAN)

Data for a PBEsol-optimized structure of HfCuAsSe2.

Cell and atoms, written as POSCAR:
```
HfCuAsSe2
1.0
4.622 0.000 0.000
0.000 4.622 0.000
0.000 0.000 4.623
Hf Cu As Se
1 1 1 2
Direct
0.000 0.000 0.000 Hf
0.500 0.500 0.500 Cu
0.500 0.500 0.000 As
0.000 0.500 0.500 Se
0.500 0.000 0.500 Se
```

Total magnetization: 0.000 μB per atom
Uncorrected formation energy: 0.34 eV per atom
Total DFT energy (no corrections): -136.5 eV for the cell shown
V: 19.8 Å³ per atom

---

Entry 6:
## NaTe3P (meta-GGA SCAN)

Data for a PBEsol-optimized structure of NaTe3P.

Cell and atoms, written as POSCAR:
```
NaTe3P
1.0
5.265 0.000 0.000
0.000 5.265 0.000
0.000 0.000 5.265
Na Te P
1 3 1
Direct
0.000 0.000 0.000 Na
0.000 0.500 0.500 Te
0.500 0.000 0.500 Te
0.500 0.500 0.000 Te
0.500 0.500 0.500 P
```

Total magnetization: 0.000 μB per atom
Uncorrected formation energy: 0.05 eV per atom
Total DFT energy (no corrections): -126.1 eV for the cell shown
V: 29.2 Å³ per atom

---

Entry 7:
## MnCNF2 (meta-GGA SCAN)

Data for a PBEsol-optimized structure of MnCNF2.

Cell and atoms, written as POSCAR:
```
MnCNF2
1.0
4.442 0.000 0.000
0.000 4.442 0.000
0.000 0.000 2.485
Mn C N F
1 1 1 2
Direct
0.000 0.000 0.000 Mn
0.500 0.500 0.500 C
0.500 0.500 0.000 N
0.000 0.500 0.500 F
0.500 0.000 0.500 F
```

Total magnetization: 0.916 μB per atom
Uncorrected formation energy: -0.49 eV per atom
Total DFT energy (no corrections): -47.2 eV for the cell shown
V: 9.8 Å³ per atom

---

Entry 8:
## AgOsRu3 (meta-GGA SCAN)

Data for a PBEsol-optimized structure of AgOsRu3.

Cell and atoms, written as POSCAR:
```
AgOsRu3
1.0
4.530 0.000 0.000
0.000 4.530 0.000
0.000 0.000 4.530
Ag Os Ru
1 1 3
Direct
0.000 0.000 0.000 Ag
0.500 0.500 0.500 Os
0.000 0.000 0.500 Ru
0.000 0.500 0.000 Ru
0.500 0.000 0.000 Ru
```

Total magnetization: 0.570 μB per atom
Total DFT energy (no corrections): -192.3 eV for the cell shown
V: 18.6 Å³ per atom
Energy of formation from the pure elements: 3086.7 meV/atom

---

Entry 9:
## BaScPb (meta-GGA SCAN)

Data for a PBEsol-optimized structure of BaScPb.

Cell and atoms, written as POSCAR:
```
BaScPb
1.0
-2.022 2.022 6.154
2.022 -2.022 6.154
2.022 2.022 -6.154
Ba Sc Pb
1 1 1
Direct
0.000 0.000 0.000 Ba
0.273 0.273 0.000 Sc
0.707 0.707 0.000 Pb
```

Total magnetization: 0.349 μB per atom
Total DFT energy (no corrections): -130.7 eV for the cell shown
V: 33.5 Å³ per atom
Energy of formation from the pure elements: -386.2 meV/atom

---

Entry 10:
## Ba2YTe (meta-GGA SCAN)

Data for a PBEsol-optimized structure of Ba2YTe.

Cell and atoms, written as POSCAR:
```
Ba2YTe
1.0
2.184 1.261 10.825
-2.184 1.261 10.825
0.000 -2.522 10.825
Ba Y Te
2 1 1
Direct
0.235 0.235 0.235 Ba
0.765 0.765 0.765 Ba
0.000 0.000 0.000 Y
0.500 0.500 0.500 Te
```

Total magnetization: 0.593 μB per atom
Uncorrected formation energy: -0.59 eV per atom
Total DFT energy (no corrections): -146.6 eV for the cell shown
V: 44.7 Å³ per atom

---

Entry 11:
## CaHfCr2Sn (meta-GGA SCAN)

Data for a PBEsol-optimized structure of CaHfCr2Sn.

Cell and atoms, written as POSCAR:
```
CaHfCr2Sn
1.0
5.100 0.000 0.000
0.000 5.100 0.000
0.000 0.000 5.336
Ca Hf Cr Sn
1 1 2 1
Direct
0.000 0.000 0.000 Ca
0.500 0.500 0.000 Hf
0.000 0.500 0.500 Cr
0.500 0.000 0.500 Cr
0.500 0.500 0.500 Sn
```

Total magnetization: 1.876 μB per atom
Total DFT energy (no corrections): -141.2 eV for the cell shown
V: 27.8 Å³ per atom
Energy of formation from the pure elements: 774.6 meV/atom

---

Entry 12:
## ScTl2Cd2 (meta-GGA SCAN)

Data for a PBEsol-optimized structure of ScTl2Cd2.

Cell and atoms, written as POSCAR:
```
ScTl2Cd2
1.0
-1.937 1.937 8.161
1.937 -1.937 8.161
1.937 1.937 -8.161
Sc Tl Cd
1 2 2
Direct
0.000 0.000 0.000 Sc
0.402 0.402 0.000 Tl
0.598 0.598 0.000 Tl
0.250 0.750 0.500 Cd
0.750 0.250 0.500 Cd
```

Total magnetization: 0.000 μB per atom
Total DFT energy (no corrections): -219.7 eV for the cell shown
V: 24.5 Å³ per atom
Energy of formation from the pure elements: 21.4 meV/atom